No. 1
! TlZn | Alexandria | PBE | relaxed; values from VASP
! Spin magnetization: 0.00 Bohr magnetons per cell
! Formation energy: 215 meV per atom
! Raw total energy: -1.60 eV per atom
&SYSTEM
  ibrav = 0, nat = 2, ntyp = 2
/
ATOMIC_SPECIES
Tl 204.38 Tl.upf
Zn 65.41 Zn.upf
CELL_PARAMETERS angstrom
3.454 0.000 0.000
-1.727 2.991 0.000
0.000 0.000 4.732
ATOMIC_POSITIONS crystal
Tl 0.000 0.000 0.000
Zn 0.667 0.333 0.500

=====

No. 2
! TlZn | Alexandria | PBE | relaxed; values from VASP
! Spin magnetization: 0.00 Bohr magnetons per cell
! Formation energy: 292 meV per atom
! Raw total energy: -1.53 eV per atom
&SYSTEM
  ibrav = 0, nat = 4, ntyp = 2
/
ATOMIC_SPECIES
Zn 65.41 Zn.upf
Tl 204.38 Tl.upf
CELL_PARAMETERS angstrom
-0.485 4.159 2.527
-2.153 -4.093 1.591
4.752 -1.309 3.065
ATOMIC_POSITIONS crystal
Zn 0.333 0.667 0.250
Zn 0.667 0.333 0.750
Tl 0.333 0.667 0.750
Tl 0.667 0.333 0.250

=====

No. 3
! TlZn | Alexandria | PBE | relaxed; values from VASP
! Spin magnetization: 0.00 Bohr magnetons per cell
! Formation energy: 142 meV per atom
! Raw total energy: -1.68 eV per atom
&SYSTEM
  ibrav = 0, nat = 12, ntyp = 2
/
ATOMIC_SPECIES
Tl 204.38 Tl.upf
Zn 65.41 Zn.upf
CELL_PARAMETERS angstrom
8.191 0.000 0.000
-4.095 7.094 0.000
0.000 0.000 5.078
ATOMIC_POSITIONS crystal
Tl 0.322 0.161 0.250
Tl 0.839 0.678 0.250
Zn 0.440 0.560 0.250
Tl 0.161 0.322 0.750
Tl 0.678 0.839 0.750
Zn 0.880 0.440 0.750
Zn 0.120 0.560 0.250
Zn 0.560 0.120 0.750
Tl 0.839 0.161 0.250
Tl 0.161 0.839 0.750
Zn 0.440 0.880 0.250
Zn 0.560 0.440 0.750

=====

No. 4
! TlZn3 | Alexandria | PBE | relaxed; values from VASP
! Spin magnetization: 0.00 Bohr magnetons per cell
! Formation energy: 110 meV per atom
! Raw total energy: -1.44 eV per atom
&SYSTEM
  ibrav = 0, nat = 16, ntyp = 2
/
ATOMIC_SPECIES
Zn 65.41 Zn.upf
Tl 204.38 Tl.upf
CELL_PARAMETERS angstrom
6.198 0.000 0.000
0.000 7.343 0.000
0.000 0.000 7.075
ATOMIC_POSITIONS crystal
Zn 0.071 0.165 0.560
Zn 0.429 0.665 0.940
Tl 0.876 0.520 0.750
Zn 0.929 0.835 0.440
Zn 0.149 0.857 0.750
Tl 0.376 0.980 0.250
Zn 0.851 0.143 0.250
Zn 0.929 0.835 0.060
Tl 0.124 0.480 0.250
Zn 0.351 0.357 0.750
Zn 0.571 0.335 0.060
Zn 0.649 0.643 0.250
Zn 0.571 0.335 0.440
Tl 0.624 0.020 0.750
Zn 0.429 0.665 0.560
Zn 0.071 0.165 0.940

=====

No. 5
! Tl4Zn | Alexandria | PBE | relaxed; values from VASP
! Spin magnetization: 0.00 Bohr magnetons per cell
! Formation energy: 72 meV per atom
! Distance to the lowest polymorph of the same formula: 0.000 eV/f.u.
! Raw total energy: -2.08 eV per atom
&SYSTEM
  ibrav = 0, nat = 5, ntyp = 2
/
ATOMIC_SPECIES
Tl 204.38 Tl.upf
Zn 65.41 Zn.upf
CELL_PARAMETERS angstrom
6.192 -0.226 -1.783
-4.986 3.691 1.757
1.083 -2.274 5.935
ATOMIC_POSITIONS crystal
Tl 0.778 0.419 0.197
Tl 0.222 0.581 0.803
Tl 0.419 0.222 0.641
Zn 0.000 0.000 0.000
Tl 0.581 0.778 0.359

=====

No. 6
! TlZn3 | Alexandria | PBE | relaxed; values from VASP
! Spin magnetization: 0.00 Bohr magnetons per cell
! Formation energy: 226 meV per atom
! Raw total energy: -1.32 eV per atom
&SYSTEM
  ibrav = 0, nat = 8, ntyp = 2
/
ATOMIC_SPECIES
Zn 65.41 Zn.upf
Tl 204.38 Tl.upf
CELL_PARAMETERS angstrom
5.403 0.000 0.000
0.000 5.403 0.000
0.000 0.000 5.403
ATOMIC_POSITIONS crystal
Zn 0.000 0.250 0.500
Tl 0.000 0.000 0.000
Tl 0.500 0.500 0.500
Zn 0.750 0.500 0.000
Zn 0.500 0.000 0.750
Zn 0.500 0.000 0.250
Zn 0.000 0.750 0.500
Zn 0.250 0.500 0.000

=====

No. 7
! TlZn3 | Alexandria | PBE | relaxed; values from VASP
! Spin magnetization: 0.00 Bohr magnetons per cell
! Formation energy: 223 meV per atom
! Raw total energy: -1.32 eV per atom
&SYSTEM
  ibrav = 0, nat = 4, ntyp = 2
/
ATOMIC_SPECIES
Zn 65.41 Zn.upf
Tl 204.38 Tl.upf
CELL_PARAMETERS angstrom
4.979 -0.072 0.000
-1.949 4.583 0.000
0.000 0.000 3.443
ATOMIC_POSITIONS crystal
Zn 0.500 0.000 0.500
Zn 0.500 0.500 0.000
Tl 0.000 0.000 0.000
Zn 0.000 0.500 0.500

=====

No. 8
! TlZn2 | Alexandria | PBE | relaxed; values from VASP
! Spin magnetization: 0.00 Bohr magnetons per cell
! Formation energy: 146 meV per atom
! Raw total energy: -1.49 eV per atom
&SYSTEM
  ibrav = 0, nat = 6, ntyp = 2
/
ATOMIC_SPECIES
Zn 65.41 Zn.upf
Tl 204.38 Tl.upf
CELL_PARAMETERS angstrom
-3.270 -3.858 2.910
-1.283 -5.642 0.749
4.635 -0.726 4.859
ATOMIC_POSITIONS crystal
Zn 0.321 0.321 0.860
Zn 0.938 0.938 0.612
Zn 0.554 0.554 0.378
Tl 0.043 0.043 0.009
Zn 0.684 0.684 0.677
Tl 0.292 0.292 0.297

=====

No. 9
! Tl3Zn5 | Alexandria | PBE | relaxed; values from VASP
! Spin magnetization: 0.00 Bohr magnetons per cell
! Formation energy: 191 meV per atom
! Distance to the lowest polymorph of the same formula: 0.295 eV/f.u.
! Raw total energy: -1.49 eV per atom
&SYSTEM
  ibrav = 0, nat = 16, ntyp = 2
/
ATOMIC_SPECIES
Zn 65.41 Zn.upf
Tl 204.38 Tl.upf
CELL_PARAMETERS angstrom
9.333 0.007 0.000
-4.678 8.076 0.000
0.000 0.000 4.842
ATOMIC_POSITIONS crystal
Zn 0.667 0.333 0.500
Zn 0.333 0.667 0.500
Zn 0.172 0.172 0.750
Tl 0.378 0.378 0.250
Tl 0.000 0.622 0.250
Zn 0.829 0.000 0.750
Tl 0.622 0.622 0.750
Zn 0.171 0.000 0.250
Zn 0.333 0.667 0.000
Zn 0.667 0.333 0.000
Zn 0.000 0.171 0.250
Tl 0.000 0.378 0.750
Zn 0.828 0.828 0.250
Zn 0.000 0.829 0.750
Tl 0.622 0.000 0.250
Tl 0.378 0.000 0.750

=====

No. 10
! TlZn | Alexandria | PBE | relaxed; values from VASP
! Spin magnetization: 0.00 Bohr magnetons per cell
! Formation energy: 272 meV per atom
! Raw total energy: -1.55 eV per atom
&SYSTEM
  ibrav = 0, nat = 4, ntyp = 2
/
ATOMIC_SPECIES
Tl 204.38 Tl.upf
Zn 65.41 Zn.upf
CELL_PARAMETERS angstrom
-3.144 -1.490 3.826
-3.056 -4.125 -0.623
0.980 -4.360 2.602
ATOMIC_POSITIONS crystal
Tl 0.250 0.250 0.250
Tl 0.000 0.000 0.000
Zn 0.500 0.500 0.500
Zn 0.750 0.750 0.750

=====

No. 11
! TlZn | Alexandria | PBE | relaxed; values from VASP
! Spin magnetization: 0.00 Bohr magnetons per cell
! Formation energy: 137 meV per atom
! Raw total energy: -1.68 eV per atom
&SYSTEM
  ibrav = 0, nat = 4, ntyp = 2
/
ATOMIC_SPECIES
Zn 65.41 Zn.upf
Tl 204.38 Tl.upf
CELL_PARAMETERS angstrom
5.750 0.091 0.000
-4.368 3.740 0.000
0.000 0.000 4.337
ATOMIC_POSITIONS crystal
Zn 0.931 0.069 0.750
Tl 0.653 0.347 0.750
Tl 0.347 0.653 0.250
Zn 0.069 0.931 0.250

=====

No. 12
! TlZn2 | Alexandria | PBE | relaxed; values from VASP
! Spin magnetization: 0.00 Bohr magnetons per cell
! Formation energy: 207 meV per atom
! Raw total energy: -1.43 eV per atom
&SYSTEM
  ibrav = 0, nat = 6, ntyp = 2
/
ATOMIC_SPECIES
Zn 65.41 Zn.upf
Tl 204.38 Tl.upf
CELL_PARAMETERS angstrom
2.036 -9.509 0.000
2.036 9.509 0.000
0.000 0.000 3.439
ATOMIC_POSITIONS crystal
Zn 0.738 0.262 0.250
Tl 0.120 0.880 0.250
Zn 0.551 0.449 0.750
Zn 0.262 0.738 0.750
Tl 0.880 0.120 0.750
Zn 0.449 0.551 0.250

=====

No. 13
! TlZn | Alexandria | PBE | relaxed; values from VASP
! Spin magnetization: 0.00 Bohr magnetons per cell
! Formation energy: 489 meV per atom
! Raw total energy: -1.33 eV per atom
&SYSTEM
  ibrav = 0, nat = 12, ntyp = 2
/
ATOMIC_SPECIES
Tl 204.38 Tl.upf
Zn 65.41 Zn.upf
CELL_PARAMETERS angstrom
7.868 0.000 0.000
0.000 7.868 0.000
0.000 0.000 7.868
ATOMIC_POSITIONS crystal
Tl 0.500 0.000 0.750
Tl 0.000 0.250 0.500
Zn 0.000 0.500 0.250
Tl 0.000 0.750 0.500
Tl 0.250 0.500 0.000
Zn 0.500 0.250 0.000
Tl 0.500 0.000 0.250
Tl 0.750 0.500 0.000
Zn 0.000 0.500 0.750
Zn 0.250 0.000 0.500
Zn 0.500 0.750 0.000
Zn 0.750 0.000 0.500

=====

No. 14
! TlZn | Alexandria | PBE | relaxed; values from VASP
! Spin magnetization: 0.00 Bohr magnetons per cell
! Formation energy: 208 meV per atom
! Raw total energy: -1.61 eV per atom
&SYSTEM
  ibrav = 0, nat = 4, ntyp = 2
/
ATOMIC_SPECIES
Tl 204.38 Tl.upf
Zn 65.41 Zn.upf
CELL_PARAMETERS angstrom
3.767 0.000 0.000
-1.883 3.262 0.000
0.000 0.000 8.055
ATOMIC_POSITIONS crystal
Tl 0.000 0.000 0.500
Zn 0.667 0.333 0.750
Tl 0.000 0.000 0.000
Zn 0.333 0.667 0.250

=====

No. 15
! TlZn | Alexandria | PBE | relaxed; values from VASP
! Spin magnetization: 0.00 Bohr magnetons per cell
! Formation energy: 206 meV per atom
! Raw total energy: -1.61 eV per atom
&SYSTEM
  ibrav = 0, nat = 4, ntyp = 2
/
ATOMIC_SPECIES
Tl 204.38 Tl.upf
Zn 65.41 Zn.upf
CELL_PARAMETERS angstrom
-4.728 3.470 2.121
-5.559 0.238 -2.816
4.206 -4.145 2.005
ATOMIC_POSITIONS crystal
Tl 0.250 0.750 0.500
Zn 0.500 0.500 0.000
Tl 0.000 0.000 0.000
Zn 0.750 0.250 0.500

=====

No. 16
! Tl3Zn5 | Alexandria | PBE | relaxed; values from VASP
! Spin magnetization: 0.00 Bohr magnetons per cell
! Formation energy: 219 meV per atom
! Distance to the lowest polymorph of the same formula: 0.512 eV/f.u.
! Raw total energy: -1.47 eV per atom
&SYSTEM
  ibrav = 0, nat = 8, ntyp = 2
/
ATOMIC_SPECIES
Zn 65.41 Zn.upf
Tl 204.38 Tl.upf
CELL_PARAMETERS angstrom
-1.139 2.342 -5.567
-4.816 -3.818 0.080
-2.608 3.329 1.934
ATOMIC_POSITIONS crystal
Zn 0.000 0.500 0.000
Tl 0.500 0.500 0.000
Zn 0.500 0.000 0.000
Tl 0.769 0.231 0.500
Tl 0.231 0.769 0.500
Zn 0.748 0.748 0.500
Zn 0.000 0.000 0.000
Zn 0.252 0.252 0.500

=====

No. 17
! TlZn | Alexandria | PBE | relaxed; values from VASP
! Spin magnetization: 0.00 Bohr magnetons per cell
! Formation energy: 162 meV per atom
! Raw total energy: -1.66 eV per atom
&SYSTEM
  ibrav = 0, nat = 4, ntyp = 2
/
ATOMIC_SPECIES
Tl 204.38 Tl.upf
Zn 65.41 Zn.upf
CELL_PARAMETERS angstrom
-5.468 -0.077 -3.099
-4.762 -3.651 1.874
4.014 4.661 1.294
ATOMIC_POSITIONS crystal
Tl 0.980 0.980 0.000
Zn 0.719 0.219 0.500
Tl 0.270 0.770 0.500
Zn 0.531 0.531 0.000

=====

No. 18
! TlZn | Alexandria | PBE | relaxed; values from VASP
! Spin magnetization: 0.00 Bohr magnetons per cell
! Formation energy: 266 meV per atom
! Raw total energy: -1.55 eV per atom
&SYSTEM
  ibrav = 0, nat = 8, ntyp = 2
/
ATOMIC_SPECIES
Tl 204.38 Tl.upf
Zn 65.41 Zn.upf
CELL_PARAMETERS angstrom
-5.306 0.890 1.332
2.042 -5.153 0.044
1.997 0.855 7.387
ATOMIC_POSITIONS crystal
Tl 0.000 0.000 0.250
Tl 0.333 0.667 0.750
Zn 0.667 0.333 0.907
Tl 0.000 0.000 0.750
Zn 0.667 0.333 0.593
Zn 0.333 0.667 0.093
Zn 0.333 0.667 0.407
Tl 0.667 0.333 0.250

=====

No. 19
! TlZn | Alexandria | PBE | relaxed; values from VASP
! Spin magnetization: 0.00 Bohr magnetons per cell
! Formation energy: 121 meV per atom
! Raw total energy: -1.70 eV per atom
&SYSTEM
  ibrav = 0, nat = 4, ntyp = 2
/
ATOMIC_SPECIES
Zn 65.41 Zn.upf
Tl 204.38 Tl.upf
CELL_PARAMETERS angstrom
3.335 0.000 0.000
0.000 3.479 0.000
0.000 0.000 8.173
ATOMIC_POSITIONS crystal
Zn 0.500 0.500 0.302
Zn 0.000 0.000 0.448
Tl 0.000 0.000 0.041
Tl 0.500 0.500 0.709

=====

No. 20
! TlZn3 | Alexandria | PBE | relaxed; values from VASP
! Spin magnetization: 0.00 Bohr magnetons per cell
! Formation energy: 154 meV per atom
! Raw total energy: -1.39 eV per atom
&SYSTEM
  ibrav = 0, nat = 4, ntyp = 2
/
ATOMIC_SPECIES
Tl 204.38 Tl.upf
Zn 65.41 Zn.upf
CELL_PARAMETERS angstrom
3.131 0.000 0.000
0.000 4.206 0.000
0.000 0.000 6.162
ATOMIC_POSITIONS crystal
Tl 0.000 0.000 0.017
Zn 0.500 0.000 0.485
Zn 0.000 0.500 0.401
Zn 0.500 0.500 0.763

=====

No. 21
! TlZn | Alexandria | PBE | relaxed; values from VASP
! Spin magnetization: 0.00 Bohr magnetons per cell
! Formation energy: 133 meV per atom
! Raw total energy: -1.69 eV per atom
&SYSTEM
  ibrav = 0, nat = 16, ntyp = 2
/
ATOMIC_SPECIES
Tl 204.38 Tl.upf
Zn 65.41 Zn.upf
CELL_PARAMETERS angstrom
-1.445 4.518 -9.962
-10.383 -3.728 -0.184
-0.990 2.690 1.364
ATOMIC_POSITIONS crystal
Tl 0.622 0.675 0.500
Tl 0.122 0.175 0.000
Tl 0.175 0.878 0.000
Zn 0.580 0.116 0.500
Zn 0.384 0.080 0.000
Tl 0.378 0.325 0.500
Zn 0.616 0.920 0.000
Zn 0.116 0.420 0.500
Tl 0.878 0.825 0.000
Zn 0.884 0.580 0.500
Tl 0.325 0.622 0.500
Zn 0.920 0.384 0.000
Zn 0.080 0.616 0.000
Tl 0.825 0.122 0.000
Zn 0.420 0.884 0.500
Tl 0.675 0.378 0.500

=====

No. 22
! TlZn | Alexandria | PBE | relaxed; values from VASP
! Spin magnetization: 0.00 Bohr magnetons per cell
! Formation energy: 201 meV per atom
! Raw total energy: -1.62 eV per atom
&SYSTEM
  ibrav = 0, nat = 4, ntyp = 2
/
ATOMIC_SPECIES
Zn 65.41 Zn.upf
Tl 204.38 Tl.upf
CELL_PARAMETERS angstrom
3.540 0.000 0.000
0.000 5.898 0.000
0.000 0.000 4.767
ATOMIC_POSITIONS crystal
Zn 0.500 0.000 0.591
Tl 0.500 0.500 0.738
Tl 0.000 0.000 0.096
Zn 0.000 0.500 0.243

=====

No. 23
! TlZn | Alexandria | PBE | relaxed; values from VASP
! Spin magnetization: 0.00 Bohr magnetons per cell
! Formation energy: 138 meV per atom
! Raw total energy: -1.68 eV per atom
&SYSTEM
  ibrav = 0, nat = 4, ntyp = 2
/
ATOMIC_SPECIES
Zn 65.41 Zn.upf
Tl 204.38 Tl.upf
CELL_PARAMETERS angstrom
4.778 0.000 0.000
-2.389 4.137 0.000
0.000 0.000 5.056
ATOMIC_POSITIONS crystal
Zn 0.000 0.000 0.500
Tl 0.333 0.667 0.250
Tl 0.667 0.333 0.750
Zn 0.000 0.000 0.000

=====

No. 24
! TlZn | Alexandria | PBE | relaxed; values from VASP
! Spin magnetization: 0.00 Bohr magnetons per cell
! Formation energy: 452 meV per atom
! Raw total energy: -1.37 eV per atom
&SYSTEM
  ibrav = 0, nat = 2, ntyp = 2
/
ATOMIC_SPECIES
Tl 204.38 Tl.upf
Zn 65.41 Zn.upf
CELL_PARAMETERS angstrom
-0.034 3.404 2.975
-3.145 0.134 3.245
1.161 -0.749 4.305
ATOMIC_POSITIONS crystal
Tl 0.000 0.000 0.000
Zn 0.750 0.750 0.750

=====

No. 25
! Tl4Zn5 | Alexandria | PBE | relaxed; values from VASP
! Spin magnetization: 0.00 Bohr magnetons per cell
! Formation energy: 174 meV per atom
! Distance to the lowest polymorph of the same formula: 0.000 eV/f.u.
! Raw total energy: -1.59 eV per atom
&SYSTEM
  ibrav = 0, nat = 9, ntyp = 2
/
ATOMIC_SPECIES
Tl 204.38 Tl.upf
Zn 65.41 Zn.upf
CELL_PARAMETERS angstrom
0.513 -5.011 4.890
3.465 5.614 -2.400
-5.249 3.540 3.034
ATOMIC_POSITIONS crystal
Tl 0.000 0.312 0.312
Zn 0.647 0.353 0.000
Tl 0.312 0.000 0.312
Zn 0.353 0.647 0.000
Zn 0.353 0.353 0.707
Tl 0.688 0.000 0.688
Zn 0.647 0.647 0.293
Zn 0.000 0.000 0.000
Tl 0.000 0.688 0.688

=====

No. 26
! Tl4Zn | Alexandria | PBE | relaxed; values from VASP
! Spin magnetization: 0.00 Bohr magnetons per cell
! Formation energy: 170 meV per atom
! Distance to the lowest polymorph of the same formula: 0.489 eV/f.u.
! Raw total energy: -1.98 eV per atom
&SYSTEM
  ibrav = 0, nat = 5, ntyp = 2
/
ATOMIC_SPECIES
Tl 204.38 Tl.upf
Zn 65.41 Zn.upf
CELL_PARAMETERS angstrom
-3.392 3.392 3.392
3.392 -3.392 3.392
3.392 3.392 -3.392
ATOMIC_POSITIONS crystal
Tl 0.000 0.500 0.000
Tl 0.500 0.500 0.500
Tl 0.500 0.000 0.000
Zn 0.000 0.000 0.000
Tl 0.000 0.000 0.500